A relaxed structure of KNpFeO5, computed with PBE with a Hubbard U.

Lattice parameters (Å, degrees): 7.4668 9.7220 8.0488 90.00 116.23 90.00
Closest atoms and distances in Å follow each position.
Space group C2/c (No. 15)
Asymmetric unit:
K 0.0000 0.1692 0.2500 [4 per cell]  5 O 2.63-2.80
Np 0.0000 0.5000 0.0000 [4 per cell]  6 O 2.07-2.10
Fe 0.0000 0.1895 0.7500 [4 per cell]  4 O 1.90-1.91
O 0.0000 0.4392 0.2500 [4 per cell]  2 Np 2.10
O 0.0844 0.3034 0.6049 [8 per cell]  1 Fe 1.91, 1 Np 2.07
O 0.2080 0.0668 0.8965 [8 per cell]  1 Fe 1.90, 1 Np 2.07

Results
* V: 16.4 Å³ per atom
* DFT total energy: -7.79 eV/atom